Record 1
A plane-wave DFT calculation with PBE was carried out for an optimized crystal structure of Hf2MgScN4.

```
16
Lattice="-3.184 3.191 4.508 3.184 -3.191 4.508 3.184 3.191 -4.508" Properties=species:S:1:pos:R:3 pbc="T T T"
Hf 0.000 0.000 0.000
Hf -1.592 1.595 2.254
Hf 0.000 3.191 0.000
Hf 1.592 1.595 2.254
Mg 3.184 0.000 0.000
Mg 0.000 0.000 4.508
Sc 1.592 1.595 -2.254
Sc 1.592 -1.595 2.254
N 0.000 0.027 2.234
N 1.550 1.595 0.024
N 1.634 -1.595 4.533
N 3.184 0.027 2.274
N 0.000 3.164 2.234
N 1.550 4.786 -0.024
N 1.634 1.595 4.484
N 3.184 3.164 2.274
```

Output
Space group: Imma
Electronic total energy (eV per atom): -9.33
Size of the total moment (μB/atom): 0.00
Formation energy without anion corrections (eV per formula unit): -13.506

---

Record 2
A plane-wave DFT calculation with PBE was carried out for an optimized crystal structure of Pm4MgPt2.

```
14
Lattice="6.968 0.000 0.000 -1.442 6.933 0.000 -2.756 -3.465 7.981" Properties=species:S:1:pos:R:3 pbc="T T T"
Pm 0.000 0.000 0.000
Pm -0.731 3.465 0.194
Pm -0.712 0.315 3.628
Pm 0.331 -1.404 6.873
Pm 1.103 3.639 4.644
Pm 2.373 5.526 1.300
Pm 2.770 0.317 4.537
Pm 4.585 3.635 3.539
Mg -1.497 1.944 6.235
Mg 1.978 1.972 1.941
Pt -0.268 5.454 2.500
Pt 1.163 1.397 6.711
Pt 4.637 1.394 1.464
Pt 4.661 -1.468 5.673
```

Output
Space group: P1
Electronic total energy (eV per atom): -5.36
Size of the total moment (μB/atom): 0.00
Energy of formation from the pure elements (eV per atom): -0.69

---

Record 3
A plane-wave DFT calculation with PBE was carried out for an optimized crystal structure of Ca3TaRu.

```
5
Lattice="5.511 0.000 0.000 0.000 5.511 0.000 0.000 0.000 5.511" Properties=species:S:1:pos:R:3 pbc="T T T"
Ca 0.000 0.000 2.755
Ca 0.000 2.755 0.000
Ca 2.755 0.000 0.000
Ta 0.000 0.000 0.000
Ru 2.755 2.755 2.755
```

Output
Space group: Pm-3m
Electronic total energy (eV per atom): -3.65
Size of the total moment (μB/atom): 0.76
Energy of formation from the pure elements (eV per atom): 1.78

---

Record 4
A plane-wave DFT calculation with PBE was carried out for an optimized crystal structure of Fe3SI.

```
5
Lattice="4.463 0.000 0.000 0.000 4.463 0.000 0.000 0.000 4.463" Properties=species:S:1:pos:R:3 pbc="T T T"
Fe 0.000 0.000 2.231
Fe 0.000 2.231 0.000
Fe 2.231 0.000 0.000
S 0.000 0.000 0.000
I 2.231 2.231 2.231
```

Output
Space group: Pm-3m
Electronic total energy (eV per atom): -5.73
Size of the total moment (μB/atom): 1.79
Formation energy without anion corrections (eV per formula unit): 2.407

---

Record 5
A plane-wave DFT calculation with PBE was carried out for an optimized crystal structure of SrZn3CdAg.

```
12
Lattice="3.111 -6.748 0.000 3.111 6.748 0.000 0.000 0.000 6.392" Properties=species:S:1:pos:R:3 pbc="T T T"
Sr 3.111 3.923 4.794
Sr 3.111 -3.923 1.598
Zn 1.254 0.000 0.000
Zn 1.254 0.000 3.196
Zn 3.111 1.812 1.598
Zn 3.111 -1.812 4.794
Zn 4.967 0.000 0.000
Zn 4.967 0.000 3.196
Cd 3.111 4.693 1.598
Cd 3.111 -4.693 4.794
Ag 3.111 0.919 4.794
Ag 3.111 -0.919 1.598
```

Output
Space group: Cmcm
Electronic total energy (eV per atom): -1.61
Size of the total moment (μB/atom): 0.00
Energy of formation from the pure elements (eV per atom): -0.06

---

Record 6
A plane-wave DFT calculation with PBE was carried out for an optimized crystal structure of KBaPuI6.

```
18
Lattice="7.907 0.000 0.000 0.000 7.907 0.000 0.000 0.000 15.273" Properties=species:S:1:pos:R:3 pbc="T T T"
K 0.000 0.000 0.000
K 3.954 3.954 7.636
Ba 0.000 0.000 5.072
Ba 3.954 3.954 12.708
Pu 0.000 0.000 10.176
Pu 3.954 3.954 2.540
I 1.467 1.467 7.857
I 1.503 1.503 12.456
I 1.745 1.745 2.594
I 2.209 5.698 10.230
I 2.450 5.457 4.819
I 2.487 5.421 0.221
I 5.421 2.487 0.221
I 5.457 2.450 4.819
I 5.698 2.209 10.230
I 6.163 6.163 2.594
I 6.404 6.404 12.456
I 6.440 6.440 7.857
```

Output
Space group: P4_2nm
Electronic total energy (eV per atom): -4.33
Size of the total moment (μB/atom): 0.56
Formation energy without anion corrections (eV per formula unit): -12.289

---

Record 7
A plane-wave DFT calculation with PBE was carried out for an optimized crystal structure of Ca2BO4.

```
14
Lattice="3.690 -4.997 0.000 3.690 4.997 0.000 0.000 0.000 4.848" Properties=species:S:1:pos:R:3 pbc="T T T"
Ca 1.730 1.376 1.212
Ca 1.730 -1.376 3.636
Ca 5.649 1.376 1.212
Ca 5.649 -1.376 3.636
B 3.690 3.403 1.212
B 3.690 -3.403 3.636
O 1.250 0.855 3.636
O 1.250 -0.855 1.212
O 3.690 2.383 0.084
O 3.690 2.383 2.340
O 3.690 -2.383 2.508
O 3.690 -2.383 4.764
O 6.130 0.855 3.636
O 6.130 -0.855 1.212
```

Output
Space group: Cmcm
Electronic total energy (eV per atom): -6.83
Size of the total moment (μB/atom): 0.15
Formation energy without anion corrections (eV per formula unit): -17.292

---

Record 8
A plane-wave DFT calculation with PBE was carried out for an optimized crystal structure of Tb2PmPr4Sc.

```
8
Lattice="5.914 0.000 0.000 0.000 5.925 0.000 0.000 0.000 7.606" Properties=species:S:1:pos:R:3 pbc="T T T"
Tb 0.000 0.000 0.000
Tb 2.957 2.963 3.803
Pm 0.000 0.000 3.803
Pr 0.000 2.963 1.797
Pr 0.000 2.963 5.809
Pr 2.957 0.000 1.806
Pr 2.957 0.000 5.800
Sc 2.957 2.963 0.000
```

Output
Space group: Pmmm
Electronic total energy (eV per atom): -4.83
Size of the total moment (μB/atom): 0.00
Energy of formation from the pure elements (eV per atom): 0.10

---

Record 9
A plane-wave DFT calculation with PBE was carried out for an optimized crystal structure of Cs2SnBS4.

```
16
Lattice="0.000 7.052 12.511 3.061 0.000 12.511 3.061 7.052 0.000" Properties=species:S:1:pos:R:3 pbc="T T T"
Cs 2.295 5.289 1.310
Cs 3.826 8.815 7.566
Cs 2.295 5.289 17.457
Cs 3.826 8.815 23.713
Sn 0.765 1.763 3.128
Sn 5.356 12.341 21.895
B 2.295 5.289 9.384
B 3.826 8.815 15.639
S 3.394 4.132 8.228
S 3.394 6.446 10.539
S 4.924 7.658 16.795
S 4.924 9.972 14.483
S 1.197 4.132 10.539
S 1.197 6.446 8.228
S 2.727 7.658 14.483
S 2.727 9.972 16.795
```

Output
Space group: Fddd
Electronic total energy (eV per atom): -4.29
Size of the total moment (μB/atom): 0.11
Formation energy without anion corrections (eV per formula unit): -5.449

---

Record 10
A plane-wave DFT calculation with PBE was carried out for an optimized crystal structure of Cr3H2.

```
10
Lattice="-2.732 3.375 2.160 2.732 -3.375 2.160 2.732 3.375 -2.160" Properties=species:S:1:pos:R:3 pbc="T T T"
Cr 3.424 1.067 0.000
Cr 0.000 0.000 1.080
Cr 0.692 2.308 0.000
Cr 2.039 1.067 2.160
Cr 0.000 0.000 3.241
Cr -0.692 2.308 2.160
H 1.500 0.652 0.000
H 1.500 -0.652 2.160
H 1.232 4.026 0.000
H 1.232 2.723 2.160
```

Output
Space group: Ibam
Electronic total energy (eV per atom): -6.90
Size of the total moment (μB/atom): 0.00

---

Record 11
A plane-wave DFT calculation with PBE was carried out for an optimized crystal structure of NaPrRuO4.

```
7
Lattice="-1.953 1.953 6.132 1.953 -1.953 6.132 1.953 1.953 -6.132" Properties=species:S:1:pos:R:3 pbc="T T T"
Na 0.000 0.000 0.000
Pr 0.000 0.000 3.621
Ru 0.000 0.000 7.856
O 1.953 0.000 1.942
O 0.000 0.000 5.877
O 0.000 1.953 1.942
O 0.000 0.000 9.971
```

Output
Space group: I4mm
Electronic total energy (eV per atom): -6.91
Size of the total moment (μB/atom): 0.27
Formation energy without anion corrections (eV per formula unit): -13.153

---

Record 12
A plane-wave DFT calculation with PBE was carried out for an optimized crystal structure of Pa4Hg3O12.

```
19
Lattice="-4.293 4.293 4.293 4.293 -4.293 4.293 4.293 4.293 -4.293" Properties=species:S:1:pos:R:3 pbc="T T T"
Pa 2.146 2.146 -2.146
Pa 2.146 -2.146 2.146
Pa -2.146 2.146 2.146
Pa 2.146 2.146 2.146
Hg 4.293 0.000 0.000
Hg 0.000 4.293 0.000
Hg 0.000 0.000 4.293
O 4.293 2.476 -1.812
O 2.481 0.000 1.817
O 6.105 0.000 1.817
O 1.817 2.481 0.000
O 2.476 -1.812 4.293
O 4.293 2.476 1.812
O 0.000 1.817 2.481
O 1.817 6.105 0.000
O 2.476 1.812 4.293
O -1.812 4.293 2.476
O 1.812 4.293 2.476
O 0.000 1.817 6.105
```

Output
Space group: Im-3
Electronic total energy (eV per atom): -7.75
Size of the total moment (μB/atom): 0.00
Formation energy without anion corrections (eV per formula unit): -48.810